VASP calculation (GGA-PBE) on a relaxed structure of TlCrB2Cl8.

Computed properties:
E, eV/cell: -49.60
Total moment, μB/cell: 5.00

Cell: 9.8011 9.8011 9.8011 Å, 36.14 36.14 36.14°
Last column: nearest neighbours and their distance in Å.
Sites, in units of the cell vectors:
Tl 0.0000 0.0000 0.0000  12 Cl 3.54-3.64
Cr 0.5000 0.5000 0.5000  6 Cl 2.72
B 0.2483 0.2483 0.2483  4 Cl 1.86-1.87
B 0.7517 0.7517 0.7517  4 Cl 1.86-1.87
Cl 0.0642 0.7759 0.4809  1 B 1.87
Cl 0.2241 0.5191 0.9358  1 B 1.87
Cl 0.3159 0.3159 0.3159  1 B 1.86
Cl 0.4809 0.0642 0.7759  1 B 1.87
Cl 0.5191 0.9358 0.2241  1 B 1.87
Cl 0.6841 0.6841 0.6841  1 B 1.86
Cl 0.7759 0.4809 0.0642  1 B 1.87
Cl 0.9358 0.2241 0.5191  1 B 1.87